Be2CrOsO8 PBE+U relaxed; uncorrected energy = -6.510 eV per atom; density of states at the Fermi level = 2.12 states/eV per cell; space-group type = P-3 (147); magnetization = 0.1665 μB per atom
1.0
-2.5737 4.2963 0.0816
0.9834 -2.2478 -4.3668
-5.3694 -3.2251 0.4510
O Be Cr Os
8 2 1 1
direct
0.0922 0.3290 0.6791
0.3333 0.6667 0.0169
0.9078 0.6710 0.3209
0.3290 0.2368 0.3209
0.7632 0.0922 0.3209
0.2368 0.9078 0.6791
0.6710 0.7632 0.6791
0.6667 0.3333 0.9831
0.6667 0.3333 0.2392
0.3333 0.6667 0.7608
0.0000 0.0000 0.0000
0.0000 0.0000 0.5000